[1]
A relaxed structure of Ca5Zn2F12. Source: Alexandria via LeMat-Bulk, functional PBE.

The density of states at the Fermi level comes out at 0.0 states/eV/cell. The space group is C2/m (12). As for the volume: 14.9 Å³/atom. The value obtained for the total magnetization is 0.0 μB/f.u. The calculation puts the uncorrected formation energy at -3.324 eV/atom.

a = 5.834 Å, b = 7.123 Å, c = 8.076 Å
α = 109.90°, β = 90.00°, γ = 114.17°
Positions (direct):
Zn: 0.803 0.000 0.000
Zn: 0.197 0.000 0.000
F: 0.604 0.711 0.487
F: 0.500 0.001 0.166
F: 0.116 0.231 0.783
F: 0.549 0.632 0.891
F: 0.884 0.769 0.217
F: 0.893 0.289 0.513
F: 0.500 0.999 0.834
F: 0.107 0.711 0.487
F: 0.396 0.289 0.513
F: 0.084 0.632 0.891
F: 0.916 0.368 0.109
F: 0.451 0.368 0.109
Ca: 0.686 0.373 0.871
Ca: 0.000 0.000 0.500
Ca: 0.314 0.627 0.129
Ca: 0.291 0.582 0.647
Ca: 0.709 0.418 0.353



[2]
A relaxed structure of CaZn3F. Source: Alexandria via LeMat-Bulk, functional PBE.

The density of states at the Fermi level comes out at 2.2 states/eV/cell. The space group is Pm-3m (221). As for the volume: 42.8 Å³/atom. As for the energy above the most stable polymorph in this dataset: 0.6911 eV per atom. The value obtained for the total magnetization is 0.0 μB/f.u. The calculation puts the uncorrected formation energy at 0.278 eV/atom.

a = 5.979 Å, b = 5.979 Å, c = 5.979 Å
α = 90.00°, β = 90.00°, γ = 90.00°
Positions (direct):
Ca: 0.000 0.000 0.000
F: 0.500 0.500 0.500
Zn: 0.000 0.000 0.500
Zn: 0.500 0.000 0.000
Zn: 0.000 0.500 0.000



[3]
A relaxed structure of CaZn3F8. Source: Alexandria via LeMat-Bulk, functional PBE.

The density of states at the Fermi level comes out at 0.0 states/eV/cell. The space group is Cm (8). As for the volume: 13.7 Å³/atom. The value obtained for the total magnetization is 0.0 μB/f.u. The calculation puts the uncorrected formation energy at -2.680 eV/atom.

a = 3.953 Å, b = 6.580 Å, c = 6.655 Å
α = 85.88°, β = 107.28°, γ = 90.00°
Positions (direct):
Zn: 0.426 0.269 0.852
Zn: 0.538 0.702 0.075
Zn: 0.726 0.313 0.452
F: 0.568 0.376 0.137
F: 0.253 0.263 0.507
F: 0.715 0.624 0.431
F: 0.435 0.963 0.869
F: 0.393 0.589 0.785
F: 0.894 0.280 0.787
F: 0.716 0.005 0.433
F: 0.077 0.753 0.154
Ca: 0.257 0.833 0.514